# 1
First-principles (PBE) data for MgUCuO6 after structural relaxation, as listed in the Alexandria database.

The structure in CIF format:
```
data_MgUCuO6
_space_group_name_H-M_alt 'P -3 1 c'
_space_group_IT_number 163
_space_group_name_Hall '-P 3 2c'
_cell_length_a 5.1832
_cell_length_b 5.1832
_cell_length_c 9.2490
_cell_angle_alpha 90.00
_cell_angle_beta 90.00
_cell_angle_gamma 120.00
loop_
_atom_site_label
_atom_site_type_symbol
_atom_site_fract_x
_atom_site_fract_y
_atom_site_fract_z
Mg1 Mg 0.0000 0.0000 0.0000
U1 U 0.3333 0.6667 0.2500
Cu1 Cu 0.3333 0.6667 0.7500
O1 O 0.0121 0.3482 0.6311
```

formation energy (no corrections) = -1.921 eV per atom
energy = -7.11 eV/atom
V = 215 Å³ per cell


# 2
First-principles (PBE) data for PrEr3Sc6 after structural relaxation, as listed in the Alexandria database.

The structure in CIF format:
```
data_PrEr3Sc6
_space_group_name_H-M_alt 'R 3 2'
_space_group_IT_number 155
_space_group_name_Hall 'R 3 2"'
_cell_length_a 9.2630
_cell_length_b 9.2630
_cell_length_c 11.2983
_cell_angle_alpha 90.00
_cell_angle_beta 90.00
_cell_angle_gamma 120.00
loop_
_atom_site_label
_atom_site_type_symbol
_atom_site_fract_x
_atom_site_fract_y
_atom_site_fract_z
Pr1 Pr 0.0000 0.0000 0.0000
Er1 Er 0.0000 0.0000 0.2524
Er2 Er 0.0000 0.0000 0.5000
Sc1 Sc 0.0000 0.3345 0.0000
Sc2 Sc 0.0000 0.6710 0.5000
```

energy = -5.24 eV/atom
E_form = 0.403 eV/atom
relative energy among the computed polymorphs = 0.245 eV/atom
V = 840 Å³ per cell


# 3
First-principles (PBE) data for Pm2Ga4Pd5 after structural relaxation, as listed in the Alexandria database.

The structure in CIF format:
```
data_Pm2Ga4Pd5
_space_group_name_H-M_alt 'F m m m'
_space_group_IT_number 69
_space_group_name_Hall '-F 2 2'
_cell_length_a 5.666
_cell_length_b 9.532
_cell_length_c 15.659
_cell_angle_alpha 90.00
_cell_angle_beta 90.00
_cell_angle_gamma 90.00
loop_
_atom_site_label
_atom_site_type_symbol
_atom_site_fract_x
_atom_site_fract_y
_atom_site_fract_z
Pm1 Pm 0.000 0.000 0.131
Ga1 Ga 0.000 0.156 0.371
Pd1 Pd 0.000 0.000 0.500
Pd2 Pd 0.250 0.250 0.000
Pd3 Pd 0.250 0.250 0.250
```

energy = -5.06 eV/atom
E_form = -0.739 eV/atom
V = 846 Å³ per cell


# 4
First-principles (PBE) data for Ni2SbOs after structural relaxation, as listed in the Alexandria database.

The structure in CIF format:
```
data_Ni2SbOs
_space_group_name_H-M_alt 'I m m m'
_space_group_IT_number 71
_space_group_name_Hall '-I 2 2'
_cell_length_a 3.057
_cell_length_b 4.409
_cell_length_c 8.508
_cell_angle_alpha 90.00
_cell_angle_beta 90.00
_cell_angle_gamma 90.00
loop_
_atom_site_label
_atom_site_type_symbol
_atom_site_fract_x
_atom_site_fract_y
_atom_site_fract_z
Ni1 Ni 0.000 0.000 0.241
Sb1 Sb 0.000 0.500 0.500
Os1 Os 0.000 0.500 0.000
```

formation energy (no corrections) = 0.371 eV per atom
energy = -6.36 eV/atom
V = 115 Å³ per cell


# 5
First-principles (PBE) data for Sc2Br after structural relaxation, as listed in the Alexandria database.

The structure in CIF format:
```
data_Sc2Br
_space_group_name_H-M_alt 'P 63/m m c'
_space_group_IT_number 194
_space_group_name_Hall '-P 6c 2c'
_cell_length_a 5.2610
_cell_length_b 5.2610
_cell_length_c 5.7204
_cell_angle_alpha 90.00
_cell_angle_beta 90.00
_cell_angle_gamma 120.00
loop_
_atom_site_label
_atom_site_type_symbol
_atom_site_fract_x
_atom_site_fract_y
_atom_site_fract_z
Sc1 Sc 0.0000 0.0000 0.0000
Sc2 Sc 0.3333 0.6667 0.2500
Br1 Br 0.3333 0.6667 0.7500
```

formation energy (no corrections) = -0.027 eV per atom
energy = -4.81 eV/atom
relative energy among the computed polymorphs = 0.639 eV/atom
V = 137 Å³ per cell


# 6
First-principles (PBE) data for Pm2Dy8Th3 after structural relaxation, as listed in the Alexandria database.

The structure in CIF format:
```
data_Pm2Dy8Th3
_space_group_name_H-M_alt 'P b a m'
_space_group_IT_number 55
_cell_length_a 11.705
_cell_length_b 21.010
_cell_length_c 3.482
_cell_angle_alpha 90.00
_cell_angle_beta 90.00
_cell_angle_gamma 90.00
loop_
_space_group_symop_operation_xyz
'x,y,z'
'-x,-y,-z'
'-x,-y,z'
'x,y,-z'
'x+1/2,-y+1/2,-z'
'-x+1/2,y+1/2,z'
'-x+1/2,y+1/2,-z'
'x+1/2,-y+1/2,z'
loop_
_atom_site_label
_atom_site_type_symbol
_atom_site_fract_x
_atom_site_fract_y
_atom_site_fract_z
Pm1 Pm 0.177 0.099 0.000
Dy1 Dy 0.041 0.573 0.000
Dy2 Dy 0.060 0.842 0.500
Dy3 Dy 0.132 0.287 0.000
Dy4 Dy 0.210 0.449 0.500
Th1 Th 0.000 0.000 0.500
Th2 Th 0.139 0.701 0.500
```

energy = -5.10 eV/atom
E_form = 0.175 eV/atom
relative energy among the computed polymorphs = 0.000 eV/atom
V = 856 Å³ per cell


# 7
First-principles (PBE) data for ReOsCl2 after structural relaxation, as listed in the Alexandria database.

The structure in CIF format:
```
data_ReOsCl2
_space_group_name_H-M_alt 'R -3 m'
_space_group_IT_number 166
_space_group_name_Hall '-R 3 2"'
_cell_length_a 2.7745
_cell_length_b 2.7745
_cell_length_c 37.5151
_cell_angle_alpha 90.00
_cell_angle_beta 90.00
_cell_angle_gamma 120.00
loop_
_atom_site_label
_atom_site_type_symbol
_atom_site_fract_x
_atom_site_fract_y
_atom_site_fract_z
Re1 Re 0.0000 0.0000 0.0000
Os1 Os 0.0000 0.0000 0.5000
Cl1 Cl 0.0000 0.0000 0.0600
```

formation energy (no corrections) = 0.919 eV per atom
energy = -5.92 eV/atom
relative energy among the computed polymorphs = 0.933 eV/atom
V = 250 Å³ per cell


# 8
First-principles (PBE) data for InPb4Br after structural relaxation, as listed in the Alexandria database.

The structure in CIF format:
```
data_InPb4Br
_space_group_name_H-M_alt 'F -4 3 m'
_space_group_IT_number 216
_space_group_name_Hall 'F -4 2 3'
_cell_length_a 9.269
_cell_length_b 9.269
_cell_length_c 9.269
_cell_angle_alpha 90.00
_cell_angle_beta 90.00
_cell_angle_gamma 90.00
loop_
_atom_site_label
_atom_site_type_symbol
_atom_site_fract_x
_atom_site_fract_y
_atom_site_fract_z
In1 In 0.000 0.000 0.000
Pb1 Pb 0.126 0.126 0.626
Br1 Br 0.250 0.250 0.250
```

formation energy (no corrections) = 0.056 eV per atom
energy = -3.15 eV/atom
V = 796 Å³ per cell


# 9
First-principles (PBE) data for Li3In after structural relaxation, as listed in the Alexandria database.

The structure in CIF format:
```
data_Li3In
_space_group_name_H-M_alt 'P m m 2'
_space_group_IT_number 25
_cell_length_a 3.387
_cell_length_b 4.702
_cell_length_c 4.704
_cell_angle_alpha 90.00
_cell_angle_beta 90.00
_cell_angle_gamma 90.00
loop_
_space_group_symop_operation_xyz
'x,y,z'
'-x,-y,z'
'-x,y,z'
'x,-y,z'
loop_
_atom_site_label
_atom_site_type_symbol
_atom_site_fract_x
_atom_site_fract_y
_atom_site_fract_z
Li1 Li 0.000 0.000 0.000
Li2 Li 0.000 0.500 0.498
Li3 Li 0.500 0.000 0.500
In1 In 0.500 0.500 0.998
```

energy = -2.33 eV/atom
E_form = -0.210 eV/atom
relative energy among the computed polymorphs = 0.027 eV/atom
V = 75 Å³ per cell


# 10
First-principles (PBE) data for Na2MgGaTe4 after structural relaxation, as listed in the Alexandria database.

The structure in CIF format:
```
data_Na2MgGaTe4
_space_group_name_H-M_alt 'I -4 2 m'
_space_group_IT_number 121
_space_group_name_Hall 'I -4 2'
_cell_length_a 7.979
_cell_length_b 7.979
_cell_length_c 7.340
_cell_angle_alpha 90.00
_cell_angle_beta 90.00
_cell_angle_gamma 90.00
loop_
_atom_site_label
_atom_site_type_symbol
_atom_site_fract_x
_atom_site_fract_y
_atom_site_fract_z
Na1 Na 0.000 0.500 0.000
Mg1 Mg 0.000 0.000 0.000
Ga1 Ga 0.000 0.000 0.500
Te1 Te 0.183 0.183 0.268
```

formation energy (no corrections) = -0.609 eV per atom
energy = -3.09 eV/atom
V = 467 Å³ per cell


# 11
First-principles (PBE) data for NaSrCa2 after structural relaxation, as listed in the Alexandria database.

The structure in CIF format:
```
data_NaSrCa2
_space_group_name_H-M_alt 'P 4/m m m'
_space_group_IT_number 123
_space_group_name_Hall '-P 4 2'
_cell_length_a 5.443
_cell_length_b 5.443
_cell_length_c 5.933
_cell_angle_alpha 90.00
_cell_angle_beta 90.00
_cell_angle_gamma 90.00
loop_
_atom_site_label
_atom_site_type_symbol
_atom_site_fract_x
_atom_site_fract_y
_atom_site_fract_z
Na1 Na 0.000 0.000 0.000
Sr1 Sr 0.500 0.500 0.000
Ca1 Ca 0.000 0.500 0.500
```

energy = -1.69 eV/atom
E_form = 0.062 eV/atom
relative energy among the computed polymorphs = 0.029 eV/atom
V = 176 Å³ per cell


Among the records above, which one has the lowest energy? MgUCuO6


Please write out number 6 again, unchanged.
First-principles (PBE) data for Pm2Dy8Th3 after structural relaxation, as listed in the Alexandria database.

The structure in CIF format:
```
data_Pm2Dy8Th3
_space_group_name_H-M_alt 'P b a m'
_space_group_IT_number 55
_cell_length_a 11.705
_cell_length_b 21.010
_cell_length_c 3.482
_cell_angle_alpha 90.00
_cell_angle_beta 90.00
_cell_angle_gamma 90.00
loop_
_space_group_symop_operation_xyz
'x,y,z'
'-x,-y,-z'
'-x,-y,z'
'x,y,-z'
'x+1/2,-y+1/2,-z'
'-x+1/2,y+1/2,z'
'-x+1/2,y+1/2,-z'
'x+1/2,-y+1/2,z'
loop_
_atom_site_label
_atom_site_type_symbol
_atom_site_fract_x
_atom_site_fract_y
_atom_site_fract_z
Pm1 Pm 0.177 0.099 0.000
Dy1 Dy 0.041 0.573 0.000
Dy2 Dy 0.060 0.842 0.500
Dy3 Dy 0.132 0.287 0.000
Dy4 Dy 0.210 0.449 0.500
Th1 Th 0.000 0.000 0.500
Th2 Th 0.139 0.701 0.500
```

energy = -5.10 eV/atom
E_form = 0.175 eV/atom
relative energy among the computed polymorphs = 0.000 eV/atom
V = 856 Å³ per cell


Copy entry 4 word for word.
First-principles (PBE) data for Ni2SbOs after structural relaxation, as listed in the Alexandria database.

The structure in CIF format:
```
data_Ni2SbOs
_space_group_name_H-M_alt 'I m m m'
_space_group_IT_number 71
_space_group_name_Hall '-I 2 2'
_cell_length_a 3.057
_cell_length_b 4.409
_cell_length_c 8.508
_cell_angle_alpha 90.00
_cell_angle_beta 90.00
_cell_angle_gamma 90.00
loop_
_atom_site_label
_atom_site_type_symbol
_atom_site_fract_x
_atom_site_fract_y
_atom_site_fract_z
Ni1 Ni 0.000 0.000 0.241
Sb1 Sb 0.000 0.500 0.500
Os1 Os 0.000 0.500 0.000
```

formation energy (no corrections) = 0.371 eV per atom
energy = -6.36 eV/atom
V = 115 Å³ per cell


Number 8 is which compound? InPb4Br